No. 1
The following is a meta-GGA SCAN calculation of IrSeS3 at its PBEsol-relaxed geometry, from the Alexandria database.

```
5
Lattice="4.571 0.000 0.000 0.000 4.571 0.000 0.000 0.000 4.571" Properties=species:S:1:pos:R:3 pbc="T T T"
S 0.000 2.285 0.000
Se 2.285 2.285 2.285
Ir 0.000 0.000 0.000
S 2.285 0.000 0.000
S 0.000 0.000 2.285
```

SG	Pm-3m

***

No. 2
The following is a meta-GGA SCAN calculation of NbGeB2I at its PBEsol-relaxed geometry, from the Alexandria database.

```
5
Lattice="-1.451 3.177 -2.406 -2.223 -2.771 -2.317 -4.148 0.588 3.277" Properties=species:S:1:pos:R:3 pbc="T T T"
B -0.725 1.588 -1.203
Nb -3.911 0.497 -0.723
Ge -2.074 0.294 1.638
B -1.111 -1.385 -1.159
I 0.000 0.000 0.000
```

SG	P4/mmm

***

No. 3
The following is a meta-GGA SCAN calculation of HgSb3Ru at its PBEsol-relaxed geometry, from the Alexandria database.

```
5
Lattice="-5.086 -0.440 -1.540 0.639 -5.258 -0.609 -1.468 -0.765 5.068" Properties=species:S:1:pos:R:3 pbc="T T T"
Ru -2.957 -3.232 1.460
Sb -0.734 -0.383 2.534
Sb -2.543 -0.220 -0.770
Hg 0.000 0.000 0.000
Sb 0.320 -2.629 -0.304
```

SG	Pm-3m
polymorph energy (0 for the lowest one)	1197.4	meV per atom

***

No. 4
The following is a meta-GGA SCAN calculation of YNiSe at its PBEsol-relaxed geometry, from the Alexandria database.

```
3
Lattice="3.832 0.000 0.000 0.000 3.977 0.000 0.000 -1.988 3.444" Properties=species:S:1:pos:R:3 pbc="T T T"
Y 1.277 1.988 1.148
Ni 3.195 0.000 0.000
Se 3.193 0.000 2.296
```

SG	P-6m2
polymorph energy (0 for the lowest one)	0.0	meV per atom

***

Ρ, record by record: 6.4, 5.5, 7.3, 7.2 Mg/m³
Energy relative to the elements, uncorrected, record by record: 3.53, 12.31, 7.90, -3.47 eV per formula unit
Raw total energy, record by record: -23.31, -18.30, -41.38, -22.52 eV/atom